# 1
Compound: SrScSi2
Source: Alexandria via LeMat-Bulk
Functional: PBE
Structure: relaxed

Calculated values
The symmetry is P4/mmm. As for the crystal system: tetragonal. Its volume is 90 Å³/cell. The formation energy from raw total energies comes out at -441 meV per atom. As for the offset from the most stable computed form: 0.041 eV per atom. Its density of states at the Fermi level is 2.5 states/eV per cell. Its magnetic moment is 0.00 μB/f.u.

Cell lengths 3.6594, 3.6594, 6.7002 Å; angles 90.00, 90.00, 90.00 degrees
Closest atoms and distances in Å follow each position.
Sites, in units of the cell vectors:
Sc  0.5000  0.5000  0.7500  8 Si 2.85
Si  0.0000  0.0000  0.9292  1 Si 2.40
Si  0.0000  0.0000  0.5708  1 Si 2.40
Sr  0.5000  0.5000  0.2500  2 Sc 3.35, 8 Si 3.36, 4 Sr 3.66

---

# 2
Compound: SrScSi2
Source: Alexandria via LeMat-Bulk
Functional: PBE
Structure: relaxed

Calculated values
The symmetry is F-43m. As for the crystal system: cubic. Its volume is 88 Å³/cell. The formation energy from raw total energies comes out at 323 meV per atom. As for the offset from the most stable computed form: 0.805 eV per atom. Its density of states at the Fermi level is 4.4 states/eV per cell. Its magnetic moment is 0.00 μB/f.u.

Cell lengths 4.9833, 4.9833, 4.9833 Å; angles 60.00, 60.00, 60.00 degrees
Closest atoms and distances in Å follow each position.
Sites, in units of the cell vectors:
Sc  0.5000  0.5000  0.5000  4 Si 3.05, 4 Sr 3.05
Si  0.0000  0.0000  0.0000  4 Sr 3.05, 4 Si 3.05
Si  0.2500  0.2500  0.2500  4 Sc 3.05, 4 Si 3.05
Sr  0.7500  0.7500  0.7500  4 Sc 3.05, 4 Si 3.05

---

# 3
Compound: SrScSi2
Source: Alexandria via LeMat-Bulk
Functional: PBE
Structure: relaxed

Calculated values
The symmetry is R-3m. As for the crystal system: trigonal. Its volume is 96 Å³/cell. The formation energy from raw total energies comes out at -119 meV per atom. As for the offset from the most stable computed form: 0.362 eV per atom. Its density of states at the Fermi level is 1.2 states/eV per cell. Its magnetic moment is 0.00 μB/f.u.

Cell lengths 8.7514, 8.7514, 8.7514 Å; angles 23.86, 23.86, 23.86 degrees
Closest atoms and distances in Å follow each position.
Sites, in units of the cell vectors:
Sc  0.7500  0.7500  0.7500  6 Si 2.82
Si  0.0089  0.0089  0.0089  3 Sc 2.82, 3 Sr 3.15
Si  0.4911  0.4911  0.4911  3 Sc 2.82, 3 Sr 3.15
Sr  0.2500  0.2500  0.2500  6 Si 3.15

---

# 4
Compound: SrSc2Si2
Source: Alexandria via LeMat-Bulk
Functional: PBE
Structure: relaxed

Calculated values
The symmetry is P4/mbm. As for the crystal system: tetragonal. Its volume is 211 Å³/cell. The formation energy from raw total energies comes out at -407 meV per atom. As for the offset from the most stable computed form: 0.102 eV per atom. Its density of states at the Fermi level is 3.4 states/eV per cell. Its magnetic moment is 0.00 μB/f.u.

Cell lengths 8.2692, 8.2692, 3.0857 Å; angles 90.00, 90.00, 90.00 degrees
Closest atoms and distances in Å follow each position.
Sites, in units of the cell vectors:
Sc  0.3739  0.8739  0.0000  6 Si 2.85-2.91, 3 Sc 2.95-3.09
Sc  0.8739  0.6261  0.0000  6 Si 2.85-2.91, 3 Sc 2.95-3.09
Sc  0.6261  0.1261  0.0000  6 Si 2.85-2.91, 3 Sc 2.95-3.09
Sc  0.1261  0.3739  0.0000  6 Si 2.85-2.91, 3 Sc 2.95-3.09
Sr  0.0000  0.0000  0.0000  2 Sr 3.09, 4 Sc 3.26, 8 Si 3.44
Sr  0.5000  0.5000  0.0000  2 Sr 3.09, 4 Sc 3.26, 8 Si 3.44
Si  0.1685  0.6685  0.5000  6 Sc 2.85-2.91, 2 Si 3.09
Si  0.6685  0.8315  0.5000  6 Sc 2.85-2.91, 2 Si 3.09
Si  0.8315  0.3315  0.5000  6 Sc 2.85-2.91, 2 Si 3.09
Si  0.3315  0.1685  0.5000  6 Sc 2.85-2.91, 2 Si 3.09

---

# 5
Compound: SrSc2Si
Source: Alexandria via LeMat-Bulk
Functional: PBE
Structure: relaxed

Calculated values
The symmetry is C2/m. As for the crystal system: monoclinic. Its volume is 100 Å³/cell. The formation energy from raw total energies comes out at 156 meV per atom. Its density of states at the Fermi level is 4.2 states/eV per cell. Its magnetic moment is 0.00 μB/f.u.

Cell lengths 5.6883, 6.2469, 3.2869 Å; angles 75.51, 88.38, 116.61 degrees
Closest atoms and distances in Å follow each position.
Sites, in units of the cell vectors:
Sc  0.0000  0.0000  0.0000  2 Sr 3.14, 2 Si 3.14, 6 Sc 3.24-3.32
Sc  0.5000  0.0000  0.5000  2 Si 3.14, 2 Sr 3.14, 6 Sc 3.24-3.32
Si  0.0000  0.5000  0.5000  4 Sc 3.14, 4 Sr 3.24-3.32, 2 Si 3.29
Sr  0.5000  0.5000  0.0000  4 Sc 3.14, 4 Si 3.24-3.32, 2 Sr 3.29

---

# 6
Compound: SrSc2Si
Source: Alexandria via LeMat-Bulk
Functional: PBE
Structure: relaxed

Calculated values
The symmetry is Immm. As for the crystal system: orthorhombic. Its volume is 106 Å³/cell. The formation energy from raw total energies comes out at -147 meV per atom. Its density of states at the Fermi level is 5.7 states/eV per cell. Its magnetic moment is 0.00 μB/f.u.

Cell lengths 6.4700, 6.4700, 6.4700 Å; angles 149.27, 129.76, 60.06 degrees
Closest atoms and distances in Å follow each position.
Sites, in units of the cell vectors:
Sc  0.9435  0.9435  0.0000  2 Si 2.76
Sc  0.5565  0.5565  0.0000  2 Si 2.76
Si  0.7500  0.2500  0.5000  4 Sc 2.76
Sr  0.2500  0.7500  0.5000  4 Si 3.24, 2 Sr 3.43, 4 Sc 3.50

---

# 7
Compound: Sr3ScSi
Source: Alexandria via LeMat-Bulk
Functional: PBE
Structure: relaxed

Calculated values
The symmetry is Pm-3m. As for the crystal system: cubic. Its volume is 230 Å³/cell. The formation energy from raw total energies comes out at 1000 meV per atom. As for the offset from the most stable computed form: 0.741 eV per atom. Its density of states at the Fermi level is 3.2 states/eV per cell. Its magnetic moment is 2.90 μB/f.u.

Cell lengths 6.1311, 6.1311, 6.1311 Å; angles 90.00, 90.00, 90.00 degrees
Closest atoms and distances in Å follow each position.
Sites, in units of the cell vectors:
Sc  0.0000  0.0000  0.0000  6 Sr 3.07
Sr  0.0000  0.5000  0.0000  2 Sc 3.07
Sr  0.0000  0.0000  0.5000  2 Sc 3.07
Sr  0.5000  0.0000  0.0000  2 Sc 3.07
Si  0.5000  0.5000  0.5000  12 Sr 4.34

---

# 8
Compound: SrSc2Si
Source: Alexandria via LeMat-Bulk
Functional: PBE
Structure: relaxed

Calculated values
The symmetry is R3m. As for the crystal system: trigonal. Its volume is 114 Å³/cell. The formation energy from raw total energies comes out at -181 meV per atom. Its density of states at the Fermi level is 4.2 states/eV per cell. Its magnetic moment is 0.00 μB/f.u.

Cell lengths 4.4990, 4.4990, 7.0122 Å; angles 71.26, 71.26, 59.94 degrees
Closest atoms and distances in Å follow each position.
Sites, in units of the cell vectors:
Sc  0.0375  0.0375  0.8878  3 Si 2.79
Sc  0.7945  0.7945  0.6166  3 Si 2.70
Si  0.4228  0.4228  0.7319  6 Sc 2.70-2.79
Sr  0.2451  0.2451  0.2637  1 Si 3.46, 6 Sc 3.47-3.57